Entry from Alexandria via LeMat-Bulk: SrCrSe2 after structural relaxation (GGA-PBE).

Geometry as POSCAR:
```
SrCrSe2
1.0
-2.011 3.221 3.918
2.011 -3.221 3.918
2.011 3.221 -3.918
Sr Cr Se
1 1 2
Direct
0.000 0.000 0.000
0.500 0.500 0.000
0.297 0.797 0.500
0.703 0.203 0.500
```

Values from the calculation:
- relative energy among the computed polymorphs (meV/atom) = 87
- formation energy from raw total energies (meV/atom) = -956
- DFT total energy (eV per atom) = -5.525